1.
Density functional theory data (PBE) for a geometry-optimized InIr2Se structure.

Energy relative to the lowest polymorph listed for this composition, meV/atom: 243
Raw formation energy, meV per atom: 410.2

Unit cell a=4.769 b=4.769 c=4.769 alpha=126.66 beta=126.66 gamma=78.80
Atoms (fractional coordinates):
In: 0.000 0.000 0.000
Ir: 0.250 0.750 0.500
Ir: 0.750 0.250 0.500
Se: 0.500 0.500 0.000

=====

2.
Density functional theory data (PBE) for a geometry-optimized Pm3Dy4Ge4 structure.

Formation enthalpy at 0 K, meV per atom: -625

Unit cell a=9.560 b=9.560 c=9.560 alpha=155.57 beta=125.23 gamma=60.84
Atoms (fractional coordinates):
Pm: 0.000 0.000 0.000
Pm: 0.399 0.899 0.500
Pm: 0.601 0.101 0.500
Dy: 0.016 0.329 0.687
Dy: 0.359 0.671 0.687
Dy: 0.641 0.329 0.313
Dy: 0.984 0.671 0.313
Ge: 0.260 0.260 0.000
Ge: 0.278 0.500 0.778
Ge: 0.722 0.500 0.222
Ge: 0.740 0.740 0.000

=====

3.
Density functional theory data (PBE) for a geometry-optimized Sc4Al5 structure.

Formation enthalpy at 0 K, meV per atom: -349

Unit cell a=8.309 b=8.309 c=5.800 alpha=90.00 beta=90.00 gamma=120.00
Atoms (fractional coordinates):
Sc: 0.000 0.000 0.000
Sc: 0.000 0.000 0.500
Sc: 0.000 0.363 0.250
Sc: 0.000 0.637 0.750
Sc: 0.363 0.000 0.250
Sc: 0.363 0.363 0.750
Sc: 0.637 0.000 0.750
Sc: 0.637 0.637 0.250
Al: 0.000 0.308 0.750
Al: 0.000 0.692 0.250
Al: 0.308 0.000 0.750
Al: 0.308 0.308 0.250
Al: 0.333 0.667 0.000
Al: 0.333 0.667 0.500
Al: 0.667 0.333 0.000
Al: 0.667 0.333 0.500
Al: 0.692 0.000 0.250
Al: 0.692 0.692 0.750

=====

Number 1: E -5.58 eV/atom, D(E_F) 3.557 states/eV/f.u.. Number 2: E -5.27 eV/atom, D(E_F) 11.476 states/eV/f.u.. Number 3: E -5.24 eV/atom, D(E_F) 5.949 states/eV/f.u..